No. 1
# Li2CaZnIn, relaxed, DFT GGA-PBE
data_Li2CaZnIn
_cell_length_a 5.669
_cell_length_b 5.669
_cell_length_c 5.483
_cell_angle_alpha 90.00
_cell_angle_beta 90.00
_cell_angle_gamma 90.00
_symmetry_space_group_name_H-M 'P 4/m m m'
_symmetry_Int_Tables_number 123
_symmetry_space_group_name_Hall '-P 4 2'
loop_
_atom_site_label
_atom_site_type_symbol
_atom_site_fract_x
_atom_site_fract_y
_atom_site_fract_z
_atom_site_occupancy
Li1 Li 0.000 0.500 0.000 1
Ca1 Ca 0.000 0.000 0.000 1
Zn1 Zn 0.000 0.000 0.500 1
In1 In 0.500 0.500 0.500 1
# D(E_F)   3.56 states/eV/cell
# Energy above the most stable polymorph in this dataset   742.7 meV per atom
# DFT formation energy   683.2 meV per atom


No. 2
# BaCd2In, relaxed, DFT GGA-PBE
data_BaCd2In
_cell_length_a 5.160
_cell_length_b 5.160
_cell_length_c 4.774
_cell_angle_alpha 90.00
_cell_angle_beta 90.00
_cell_angle_gamma 90.00
_symmetry_space_group_name_H-M 'P 4/m m m'
_symmetry_Int_Tables_number 123
_symmetry_space_group_name_Hall '-P 4 2'
loop_
_atom_site_label
_atom_site_type_symbol
_atom_site_fract_x
_atom_site_fract_y
_atom_site_fract_z
_atom_site_occupancy
Ba1 Ba 0.000 0.000 0.000 1
Cd1 Cd 0.000 0.500 0.500 1
In1 In 0.500 0.500 0.000 1
# D(E_F)   4.47 states/eV/cell
# DFT formation energy   -166.5 meV per atom


No. 3
# Mg2BeTl, relaxed, DFT GGA-PBE
data_Mg2BeTl
_cell_length_a 3.065
_cell_length_b 4.434
_cell_length_c 12.406
_cell_angle_alpha 90.00
_cell_angle_beta 90.00
_cell_angle_gamma 90.00
_symmetry_space_group_name_H-M 'I m m 2'
_symmetry_Int_Tables_number 44
loop_
_symmetry_equiv_pos_as_xyz
'x,y,z'
'-x,-y,z'
'-x,y,z'
'x,-y,z'
'x+1/2,y+1/2,z+1/2'
'-x+1/2,-y+1/2,z+1/2'
'-x+1/2,y+1/2,z+1/2'
'x+1/2,-y+1/2,z+1/2'
loop_
_atom_site_label
_atom_site_type_symbol
_atom_site_fract_x
_atom_site_fract_y
_atom_site_fract_z
_atom_site_occupancy
Mg1 Mg 0.000 0.000 0.000 1
Mg2 Mg 0.000 0.500 0.183 1
Be1 Be 0.000 0.500 0.679 1
Tl1 Tl 0.000 0.000 0.369 1
# D(E_F)   2.63 states/eV/cell
# Energy above the most stable polymorph in this dataset   52.4 meV per atom
# DFT formation energy   268.3 meV per atom


No. 4
# Sr2TlZn4Cd3, relaxed, DFT GGA-PBE
data_Sr2TlZn4Cd3
_cell_length_a 4.635
_cell_length_b 4.635
_cell_length_c 11.460
_cell_angle_alpha 90.00
_cell_angle_beta 90.00
_cell_angle_gamma 90.00
_symmetry_space_group_name_H-M 'P -4 m 2'
_symmetry_Int_Tables_number 115
loop_
_symmetry_equiv_pos_as_xyz
'x,y,z'
'y,-x,-z'
'-x,-y,z'
'-y,x,-z'
'-x,y,z'
'-y,-x,-z'
'x,-y,z'
'y,x,-z'
loop_
_atom_site_label
_atom_site_type_symbol
_atom_site_fract_x
_atom_site_fract_y
_atom_site_fract_z
_atom_site_occupancy
Sr1 Sr 0.000 0.500 0.241 1
Tl1 Tl 0.000 0.000 0.500 1
Zn1 Zn 0.000 0.000 0.000 1
Zn2 Zn 0.000 0.500 0.643 1
Zn3 Zn 0.500 0.500 0.000 1
Cd1 Cd 0.000 0.500 0.875 1
Cd2 Cd 0.500 0.500 0.500 1
# D(E_F)   5.31 states/eV/cell
# DFT formation energy   -189.7 meV per atom


No. 5
# MgTlCoSn2, relaxed, DFT GGA-PBE
data_MgTlCoSn2
_cell_length_a 4.915
_cell_length_b 4.915
_cell_length_c 5.029
_cell_angle_alpha 90.00
_cell_angle_beta 90.00
_cell_angle_gamma 90.00
_symmetry_space_group_name_H-M 'P 4/m m m'
_symmetry_Int_Tables_number 123
_symmetry_space_group_name_Hall '-P 4 2'
loop_
_atom_site_label
_atom_site_type_symbol
_atom_site_fract_x
_atom_site_fract_y
_atom_site_fract_z
_atom_site_occupancy
Mg1 Mg 0.000 0.000 0.000 1
Tl1 Tl 0.500 0.500 0.000 1
Co1 Co 0.000 0.000 0.500 1
Sn1 Sn 0.000 0.500 0.500 1
# D(E_F)   3.81 states/eV/cell
# DFT formation energy   8.9 meV per atom


No. 6
# AcAl3Pt, relaxed, DFT GGA-PBE
data_AcAl3Pt
_cell_length_a 6.297
_cell_length_b 6.303
_cell_length_c 6.259
_cell_angle_alpha 90.00
_cell_angle_beta 120.05
_cell_angle_gamma 90.00
_symmetry_space_group_name_H-M 'C 1 m 1'
_symmetry_Int_Tables_number 8
loop_
_symmetry_equiv_pos_as_xyz
'x,y,z'
'x,-y,z'
'x+1/2,y+1/2,z'
'x+1/2,-y+1/2,z'
loop_
_atom_site_label
_atom_site_type_symbol
_atom_site_fract_x
_atom_site_fract_y
_atom_site_fract_z
_atom_site_occupancy
Ac1 Ac 0.000 0.000 0.000 1
Al1 Al 0.095 0.500 0.190 1
Al2 Al 0.497 0.250 0.495 1
Pt1 Pt 0.361 0.000 0.723 1
# D(E_F)   5.04 states/eV/cell
# Energy above the most stable polymorph in this dataset   0.0 meV per atom
# DFT formation energy   -814.8 meV per atom


No. 7
# Sm2Dy5Tl, relaxed, DFT GGA-PBE
data_Sm2Dy5Tl
_cell_length_a 3.551
_cell_length_b 6.728
_cell_length_c 21.142
_cell_angle_alpha 90.00
_cell_angle_beta 90.00
_cell_angle_gamma 90.00
_symmetry_space_group_name_H-M 'I m m m'
_symmetry_Int_Tables_number 71
_symmetry_space_group_name_Hall '-I 2 2'
loop_
_atom_site_label
_atom_site_type_symbol
_atom_site_fract_x
_atom_site_fract_y
_atom_site_fract_z
_atom_site_occupancy
Sm1 Sm 0.000 0.000 0.239 1
Dy1 Dy 0.000 0.000 0.000 1
Dy2 Dy 0.000 0.249 0.386 1
Tl1 Tl 0.000 0.500 0.000 1
# D(E_F)   21.71 states/eV/cell
# Energy above the most stable polymorph in this dataset   68.6 meV per atom
# DFT formation energy   11.1 meV per atom


No. 8
# Cs4DyF7, relaxed, DFT GGA-PBE
data_Cs4DyF7
_cell_length_a 14.906
_cell_length_b 4.505
_cell_length_c 11.648
_cell_angle_alpha 90.00
_cell_angle_beta 124.01
_cell_angle_gamma 90.00
_symmetry_space_group_name_H-M 'C 1 2/m 1'
_symmetry_Int_Tables_number 12
loop_
_symmetry_equiv_pos_as_xyz
'x,y,z'
'-x,-y,-z'
'-x,y,-z'
'x,-y,z'
'x+1/2,y+1/2,z'
'-x+1/2,-y+1/2,-z'
'-x+1/2,y+1/2,-z'
'x+1/2,-y+1/2,z'
loop_
_atom_site_label
_atom_site_type_symbol
_atom_site_fract_x
_atom_site_fract_y
_atom_site_fract_z
_atom_site_occupancy
Cs1 Cs 0.080 0.000 0.230 1
Cs2 Cs 0.216 0.000 0.837 1
Dy1 Dy 0.000 0.500 0.500 1
F1 F 0.000 0.000 0.500 1
F2 F 0.011 0.500 0.695 1
F3 F 0.136 0.000 0.021 1
F4 F 0.176 0.500 0.622 1
# Formation energy without anion corrections   -3.17 eV per atom
# D(E_F)   0.00 states/eV/cell


No. 9
# ScAlCl2, relaxed, DFT GGA-PBE
data_ScAlCl2
_cell_length_a 6.903
_cell_length_b 6.903
_cell_length_c 6.903
_cell_angle_alpha 90.00
_cell_angle_beta 90.00
_cell_angle_gamma 90.00
_symmetry_space_group_name_H-M 'F m -3 m'
_symmetry_Int_Tables_number 225
_symmetry_space_group_name_Hall '-F 4 2 3'
loop_
_atom_site_label
_atom_site_type_symbol
_atom_site_fract_x
_atom_site_fract_y
_atom_site_fract_z
_atom_site_occupancy
Sc1 Sc 0.000 0.000 0.000 1
Al1 Al 0.000 0.000 0.500 1
Cl1 Cl 0.250 0.250 0.250 1
# Formation energy without anion corrections   -0.52 eV per atom
# D(E_F)   7.58 states/eV/cell
# Energy above the most stable polymorph in this dataset   506.7 meV per atom


No. 10
# Be2NiMo, relaxed, DFT GGA-PBE
data_Be2NiMo
_cell_length_a 2.639
_cell_length_b 2.639
_cell_length_c 6.082
_cell_angle_alpha 90.00
_cell_angle_beta 90.00
_cell_angle_gamma 90.00
_symmetry_space_group_name_H-M 'P 4 m m'
_symmetry_Int_Tables_number 99
loop_
_symmetry_equiv_pos_as_xyz
'x,y,z'
'-y,x,z'
'-x,-y,z'
'y,-x,z'
'-x,y,z'
'y,x,z'
'x,-y,z'
'-y,-x,z'
loop_
_atom_site_label
_atom_site_type_symbol
_atom_site_fract_x
_atom_site_fract_y
_atom_site_fract_z
_atom_site_occupancy
Be1 Be 0.000 0.000 0.000 1
Be2 Be 0.500 0.500 0.194 1
Ni1 Ni 0.500 0.500 0.796 1
Mo1 Mo 0.000 0.000 0.481 1
# D(E_F)   2.37 states/eV/cell
# Energy above the most stable polymorph in this dataset   73.7 meV per atom
# DFT formation energy   -149.1 meV per atom


No. 11
# AcErCu3, relaxed, DFT GGA-PBE
data_AcErCu3
_cell_length_a 3.937
_cell_length_b 25.503
_cell_length_c 4.402
_cell_angle_alpha 90.00
_cell_angle_beta 90.00
_cell_angle_gamma 90.00
_symmetry_space_group_name_H-M 'C m c m'
_symmetry_Int_Tables_number 63
_symmetry_space_group_name_Hall '-C 2c 2'
loop_
_atom_site_label
_atom_site_type_symbol
_atom_site_fract_x
_atom_site_fract_y
_atom_site_fract_z
_atom_site_occupancy
Ac1 Ac 0.000 0.075 0.250 1
Er1 Er 0.000 0.207 0.750 1
Cu1 Cu 0.000 0.321 0.750 1
Cu2 Cu 0.000 0.374 0.250 1
Cu3 Cu 0.000 0.475 0.250 1
# D(E_F)   13.61 states/eV/cell
# DFT formation energy   -211.5 meV per atom


No. 12
# Ce5CoBi4, relaxed, DFT GGA-PBE
data_Ce5CoBi4
_cell_length_a 9.852
_cell_length_b 9.852
_cell_length_c 6.409
_cell_angle_alpha 90.00
_cell_angle_beta 90.00
_cell_angle_gamma 90.00
_symmetry_space_group_name_H-M 'I 4/m'
_symmetry_Int_Tables_number 87
_symmetry_space_group_name_Hall '-I 4'
loop_
_atom_site_label
_atom_site_type_symbol
_atom_site_fract_x
_atom_site_fract_y
_atom_site_fract_z
_atom_site_occupancy
Ce1 Ce 0.000 0.000 0.000 1
Ce2 Ce 0.093 0.744 0.500 1
Co1 Co 0.000 0.000 0.500 1
Bi1 Bi 0.083 0.689 0.000 1
# D(E_F)   53.40 states/eV/cell
# DFT formation energy   -542.6 meV per atom


No. 13
# KSrY2, relaxed, DFT GGA-PBE
data_KSrY2
_cell_length_a 7.353
_cell_length_b 13.199
_cell_length_c 3.678
_cell_angle_alpha 90.00
_cell_angle_beta 113.52
_cell_angle_gamma 90.00
_symmetry_space_group_name_H-M 'C 1 2/m 1'
_symmetry_Int_Tables_number 12
loop_
_symmetry_equiv_pos_as_xyz
'x,y,z'
'-x,-y,-z'
'-x,y,-z'
'x,-y,z'
'x+1/2,y+1/2,z'
'-x+1/2,-y+1/2,-z'
'-x+1/2,y+1/2,-z'
'x+1/2,-y+1/2,z'
loop_
_atom_site_label
_atom_site_type_symbol
_atom_site_fract_x
_atom_site_fract_y
_atom_site_fract_z
_atom_site_occupancy
K1 K 0.000 0.000 0.000 1
Sr1 Sr 0.000 0.500 0.000 1
Y1 Y 0.250 0.250 0.500 1
# D(E_F)   12.44 states/eV/cell
# Energy above the most stable polymorph in this dataset   220.7 meV per atom
# DFT formation energy   424.4 meV per atom


No. 14
# TlMoRu2, relaxed, DFT GGA-PBE
data_TlMoRu2
_cell_length_a 2.863
_cell_length_b 2.863
_cell_length_c 8.045
_cell_angle_alpha 90.00
_cell_angle_beta 90.00
_cell_angle_gamma 90.00
_symmetry_space_group_name_H-M 'P 4 m m'
_symmetry_Int_Tables_number 99
loop_
_symmetry_equiv_pos_as_xyz
'x,y,z'
'-y,x,z'
'-x,-y,z'
'y,-x,z'
'-x,y,z'
'y,x,z'
'x,-y,z'
'-y,-x,z'
loop_
_atom_site_label
_atom_site_type_symbol
_atom_site_fract_x
_atom_site_fract_y
_atom_site_fract_z
_atom_site_occupancy
Tl1 Tl 0.000 0.000 0.000 1
Mo1 Mo 0.500 0.500 0.288 1
Ru1 Ru 0.000 0.000 0.516 1
Ru2 Ru 0.500 0.500 0.733 1
# D(E_F)   5.07 states/eV/cell
# Energy above the most stable polymorph in this dataset   175.9 meV per atom
# DFT formation energy   478.3 meV per atom


No. 15
# CsTl2AsO4, relaxed, DFT GGA-PBE
data_CsTl2AsO4
_cell_length_a 8.063
_cell_length_b 8.269
_cell_length_c 5.835
_cell_angle_alpha 90.00
_cell_angle_beta 90.00
_cell_angle_gamma 90.00
_symmetry_space_group_name_H-M 'P m n 21'
_symmetry_Int_Tables_number 31
loop_
_symmetry_equiv_pos_as_xyz
'x,y,z'
'-x+1/2,-y,z+1/2'
'-x,y,z'
'x+1/2,-y,z+1/2'
loop_
_atom_site_label
_atom_site_type_symbol
_atom_site_fract_x
_atom_site_fract_y
_atom_site_fract_z
_atom_site_occupancy
Cs1 Cs 0.000 0.082 0.000 1
Tl1 Tl 0.221 0.342 0.488 1
As1 As 0.000 0.744 0.461 1
O1 O 0.000 0.708 0.164 1
O2 O 0.000 0.947 0.515 1
O3 O 0.180 0.653 0.567 1
# Formation energy without anion corrections   -1.26 eV per atom
# D(E_F)   0.00 states/eV/cell


No. 16
# Ag2GeTe4Pb, relaxed, DFT GGA-PBE
data_Ag2GeTe4Pb
_cell_length_a 9.278
_cell_length_b 10.016
_cell_length_c 12.092
_cell_angle_alpha 90.00
_cell_angle_beta 90.00
_cell_angle_gamma 90.00
_symmetry_space_group_name_H-M 'F m m 2'
_symmetry_Int_Tables_number 42
_symmetry_space_group_name_Hall 'F 2 -2'
loop_
_atom_site_label
_atom_site_type_symbol
_atom_site_fract_x
_atom_site_fract_y
_atom_site_fract_z
_atom_site_occupancy
Ag1 Ag 0.250 0.250 0.000 1
Ge1 Ge 0.000 0.000 0.246 1
Te1 Te 0.000 0.212 0.373 1
Te2 Te 0.223 0.000 0.108 1
Pb1 Pb 0.000 0.000 0.761 1
# Formation energy without anion corrections   -0.11 eV per atom
# D(E_F)   4.64 states/eV/cell


No. 17
# HfMn, relaxed, DFT GGA-PBE
data_HfMn
_cell_length_a 7.142
_cell_length_b 7.142
_cell_length_c 7.142
_cell_angle_alpha 90.00
_cell_angle_beta 90.00
_cell_angle_gamma 90.00
_symmetry_space_group_name_H-M 'P m -3 n'
_symmetry_Int_Tables_number 223
_symmetry_space_group_name_Hall '-P 4n 2 3'
loop_
_atom_site_label
_atom_site_type_symbol
_atom_site_fract_x
_atom_site_fract_y
_atom_site_fract_z
_atom_site_occupancy
Hf1 Hf 0.000 0.250 0.500 1
Mn1 Mn 0.000 0.500 0.250 1
# D(E_F)   22.30 states/eV/cell
# DFT formation energy   1955.7 meV per atom


No. 18
# BaCa2Gd, relaxed, DFT GGA-PBE
data_BaCa2Gd
_cell_length_a 4.020
_cell_length_b 4.020
_cell_length_c 10.892
_cell_angle_alpha 90.00
_cell_angle_beta 90.00
_cell_angle_gamma 90.00
_symmetry_space_group_name_H-M 'P 4/m m m'
_symmetry_Int_Tables_number 123
_symmetry_space_group_name_Hall '-P 4 2'
loop_
_atom_site_label
_atom_site_type_symbol
_atom_site_fract_x
_atom_site_fract_y
_atom_site_fract_z
_atom_site_occupancy
Ba1 Ba 0.000 0.000 0.000 1
Ca1 Ca 0.500 0.500 0.282 1
Gd1 Gd 0.000 0.000 0.500 1
# D(E_F)   7.88 states/eV/cell
# Energy above the most stable polymorph in this dataset   0.0 meV per atom
# DFT formation energy   101.3 meV per atom


No. 19
# TeSeBrN2, relaxed, DFT GGA-PBE
data_TeSeBrN2
_cell_length_a 3.947
_cell_length_b 3.947
_cell_length_c 7.170
_cell_angle_alpha 90.00
_cell_angle_beta 90.00
_cell_angle_gamma 90.00
_symmetry_space_group_name_H-M 'P 4/m m m'
_symmetry_Int_Tables_number 123
_symmetry_space_group_name_Hall '-P 4 2'
loop_
_atom_site_label
_atom_site_type_symbol
_atom_site_fract_x
_atom_site_fract_y
_atom_site_fract_z
_atom_site_occupancy
Te1 Te 0.000 0.000 0.000 1
Se1 Se 0.000 0.000 0.500 1
Br1 Br 0.500 0.500 0.000 1
N1 N 0.000 0.500 0.500 1
# Formation energy without anion corrections   1.60 eV per atom
# D(E_F)   3.12 states/eV/cell
# Energy above the most stable polymorph in this dataset   236.9 meV per atom


No. 20
# SmYRh, relaxed, DFT GGA-PBE
data_SmYRh
_cell_length_a 6.786
_cell_length_b 7.066
_cell_length_c 7.094
_cell_angle_alpha 109.78
_cell_angle_beta 90.21
_cell_angle_gamma 90.50
_symmetry_space_group_name_H-M 'P -1'
_symmetry_Int_Tables_number 2
loop_
_symmetry_equiv_pos_as_xyz
'x,y,z'
'-x,-y,-z'
loop_
_atom_site_label
_atom_site_type_symbol
_atom_site_fract_x
_atom_site_fract_y
_atom_site_fract_z
_atom_site_occupancy
Sm1 Sm 0.171 0.209 0.054 1
Sm2 Sm 0.250 0.579 0.534 1
Y1 Y 0.254 0.076 0.533 1
Y2 Y 0.329 0.708 0.055 1
Rh1 Rh 0.013 0.392 0.767 1
Rh2 Rh 0.483 0.903 0.771 1
# D(E_F)   9.25 states/eV/cell
# Energy above the most stable polymorph in this dataset   0.0 meV per atom
# DFT formation energy   -555.1 meV per atom


Density: 2.2 6.2 5.2 6.6 7.2 7.8 8.7 4.2 2.9 6.8 8.8 8.5 3.1 12.7 5.8 5.9 6.4 3.5 4.7 7.1 (Mg/m³)